9
Lattice="3.4410 0.0000 0.0000 1.7205 7.1310 0.0000 1.7205 0.0000 7.1310" Properties=species:S:1:pos:R:3 comment="ScAs8 (meta-GGA SCAN, single point on PBEsol structure)" final_energy_ev_per_atom=-19.518 formation_energy_ev_per_atom=0.011 magnetic_moment_mub_per_fu=0.0 pbc="T T T"
Sc 0.0000 0.0000 0.0000
As 1.7205 2.0688 5.0622
As 3.4410 2.0688 2.0688
As 1.7205 0.0000 2.2979
As 1.7205 5.0622 2.0688
As 3.4410 0.0000 4.8331
As 1.7205 2.2979 0.0000
As 3.4410 5.0622 5.0622
As 3.4410 4.8331 0.0000

---

6
Lattice="4.8019 0.0000 0.0000 0.0000 5.4864 0.0000 0.0000 -2.7432 4.7514" Properties=species:S:1:pos:R:3 comment="Sc5As (meta-GGA SCAN, single point on PBEsol structure)" final_energy_ev_per_atom=-15.525 formation_energy_ev_per_atom=-0.295 magnetic_moment_mub_per_fu=0.0 pbc="T T T"
Sc 2.4010 0.0000 3.1676
Sc 0.0000 3.7946 0.0000
Sc 0.0000 0.8459 1.4652
Sc 0.0000 -1.8973 3.2862
Sc 2.4010 2.7432 1.5838
As 2.4010 0.0000 0.0000

---

Number 1: D(E_F) 0.55 states/eV per atom. Number 2: D(E_F) 1.29 states/eV per atom.